## MgMnPt4 (PBE)

Data for a geometry-optimized MgMnPt4 structure.

Geometry as POSCAR:
```
MgMnPt4
1.0
-1.264 0.440 2.506
-3.821 -2.069 -1.564
2.554 -6.563 2.442
Mn Pt Mg
1 4 1
Direct
0.001 0.997 0.498
0.001 0.497 0.695
0.001 0.497 0.302
0.501 0.997 0.204
0.501 0.997 0.792
0.502 0.497 0.998
```

Distance to the lowest polymorph of the same formula: 0.089 eV/atom
Energy: -6.156 eV/atom
Calculated volume: 16.302 A^3/atom
Formation energy: -0.33 eV per atom
Symmetry: Pmmm (47)
Total magnetization: 4.28 μB per cell